DFT (PBE) results for a relaxed W2N3 crystal.

Output
- ρ (g/cm3) = 12.4
- space-group type = No. 144
- VASP energy (eV per atom) = -10.61

a = 4.9974 Å, b = 4.9974 Å, c = 15.2273 Å
α = 90.00°, β = 90.00°, γ = 120.00°
Fractional coordinates of all 30 atoms:
W 0.8888 0.1085 0.5005
W 0.5545 0.1058 0.8257
W 0.8942 0.4487 0.1590
W 0.5513 0.4455 0.4924
W 0.8915 0.7803 0.8338
W 0.5566 0.7739 0.1672
W 0.2173 0.4434 0.8338
W 0.2261 0.7827 0.5005
W 0.2197 0.1112 0.1672
W 0.5544 0.4458 0.6720
W 0.8913 0.4456 0.3386
W 0.5542 0.1087 0.0053
N 0.2298 0.7842 0.0805
N 0.8884 0.1255 0.2482
N 0.8723 0.4301 0.9150
N 0.5597 0.1096 0.4130
N 0.5499 0.4403 0.0797
N 0.2126 0.7665 0.2489
N 0.2335 0.4461 0.5822
N 0.8745 0.7629 0.5816
N 0.8955 0.7815 0.4130
N 0.5578 0.1277 0.5816
N 0.2371 0.1116 0.9149
N 0.8860 0.1045 0.0797
N 0.5699 0.4422 0.2483
N 0.2158 0.4456 0.4138
N 0.2185 0.1140 0.7463
N 0.5539 0.7874 0.9155
N 0.5544 0.7702 0.7472
N 0.8904 0.4501 0.7464



DFT (PBE) results for a relaxed HoErPbN crystal.

Output
- ρ (g/cm3) = 11.1
- space-group type = No. 187
- VASP energy (eV per atom) = -6.40

a = 3.5208 Å, b = 3.5208 Å, c = 15.4703 Å
α = 90.00°, β = 90.00°, γ = 120.00°
Fractional coordinates of all 8 atoms:
N 0.0000 0.0000 0.2490
N 0.0000 0.0000 0.7510
Ho 0.6667 0.3333 0.3333
Ho 0.6667 0.3333 0.6667
Er 0.3333 0.6667 0.8331
Er 0.3333 0.6667 0.1669
Pb 0.6667 0.3333 0.0000
Pb 0.3333 0.6667 0.5000



DFT (PBE) results for a relaxed TbDy2Al3NiGe2 crystal.

Output
- ρ (g/cm3) = 7.3
- space-group type = No. 38
- VASP energy (eV per atom) = -5.18

a = 4.1849 Å, b = 6.9480 Å, c = 6.9480 Å
α = 120.01°, β = 90.00°, γ = 90.00°
Fractional coordinates of all 9 atoms:
Ge 0.5000 0.3327 0.6669
Ge 0.5000 0.6669 0.3327
Dy 0.0000 0.9999 0.4025
Dy 0.0000 0.4025 0.9999
Al 0.5000 0.2288 0.2288
Al 0.5000 0.0003 0.7712
Al 0.5000 0.7712 0.0003
Ni 0.0000 0.0006 0.0006
Tb 0.0000 0.5972 0.5972



DFT (PBE) results for a relaxed NiHg2 crystal.

Output
- ρ (g/cm3) = 12.2
- space-group type = No. 227
- VASP energy (eV per atom) = -1.28

a = 5.6082 Å, b = 5.6082 Å, c = 5.6082 Å
α = 60.00°, β = 60.00°, γ = 60.00°
Fractional coordinates of all 6 atoms:
Hg 0.6250 0.1250 0.6250
Hg 0.6250 0.6250 0.1250
Hg 0.6250 0.6250 0.6250
Hg 0.1250 0.6250 0.6250
Ni 0.0000 0.0000 0.0000
Ni 0.2500 0.2500 0.2500



DFT (PBE) results for a relaxed TaSiHg2 crystal.

Output
- ρ (g/cm3) = 13.2
- space-group type = No. 216
- VASP energy (eV per atom) = -3.76

a = 4.7764 Å, b = 4.7764 Å, c = 4.7764 Å
α = 60.00°, β = 60.00°, γ = 60.00°
Fractional coordinates of all 4 atoms:
Hg 0.7500 0.7500 0.7500
Hg 0.0000 0.0000 0.0000
Ta 0.2500 0.2500 0.2500
Si 0.5000 0.5000 0.5000



DFT (PBE) results for a relaxed Hf2ZrCo9 crystal.

Output
- ρ (g/cm3) = 10.4
- space-group type = No. 166
- VASP energy (eV per atom) = -7.98

a = 8.3369 Å, b = 8.3369 Å, c = 8.3369 Å
α = 33.40°, β = 33.40°, γ = 33.40°
Site moments in Bohr magnetons follow the coordinates.
Fractional coordinates of all 12 atoms:
Co 0.4138 0.4138 0.9214  0.55
Co 0.0786 0.5862 0.5862  0.58
Co 0.9214 0.4138 0.4138  0.58
Co 0.5862 0.0786 0.5862  0.59
Co 0.5862 0.5862 0.0786  0.55
Co 0.4138 0.9214 0.4138  0.59
Co 0.6648 0.6648 0.6648  0.98
Co 0.5000 0.5000 0.5000  0.05
Co 0.3352 0.3352 0.3352  0.98
Hf 0.8611 0.8611 0.8611  -0.16
Hf 0.1389 0.1389 0.1389  -0.16
Zr 0.0000 0.0000 0.0000  -0.17



DFT (PBE) results for a relaxed UNiAu crystal.

Output
- ρ (g/cm3) = 11.8
- space-group type = No. 216
- VASP energy (eV per atom) = -6.25

a = 4.6079 Å, b = 4.6079 Å, c = 4.6079 Å
α = 60.00°, β = 60.00°, γ = 60.00°
Fractional coordinates of all 3 atoms:
U 0.0000 0.0000 0.0000
Ni 0.7500 0.7500 0.7500
Au 0.2500 0.2500 0.2500



DFT (PBE) results for a relaxed PrPtNO crystal.

Output
- ρ (g/cm3) = 9.0
- space-group type = No. 129
- relative energy among the computed polymorphs (meV/atom) = 34.0

a = 4.2110 Å, b = 4.2110 Å, c = 7.5837 Å
α = 90.00°, β = 90.00°, γ = 90.00°
Fractional coordinates of all 8 atoms:
Pr 0.7500 0.7500 0.8526
Pr 0.2500 0.2500 0.1474
N 0.7500 0.7500 0.5297
N 0.2500 0.2500 0.4703
Pt 0.2500 0.7500 0.5000
Pt 0.7500 0.2500 0.5000
O 0.2500 0.7500 0.0000
O 0.7500 0.2500 0.0000



DFT (PBE) results for a relaxed TlNiGeS3 crystal.

Output
- ρ (g/cm3) = 5.6
- space-group type = No. 11
- VASP energy (eV per atom) = -4.39

a = 7.9168 Å, b = 3.4886 Å, c = 9.8056 Å
α = 90.00°, β = 108.07°, γ = 90.00°
Site moments in Bohr magnetons follow the coordinates.
Fractional coordinates of all 12 atoms:
S 0.3429 0.2500 0.6939  0.05
S 0.1478 0.7500 0.9035  0.01
S 0.9234 0.2500 0.5954  0.08
S 0.6571 0.7500 0.3061  0.05
S 0.0766 0.7500 0.4046  0.08
S 0.8522 0.2500 0.0965  0.01
Ni 0.8724 0.2500 0.3525  0.46
Ni 0.1276 0.7500 0.6475  0.46
Ge 0.6388 0.7500 0.0661  0.00
Ge 0.3612 0.2500 0.9339  0.00
Tl 0.2750 0.2500 0.2427  0.02
Tl 0.7250 0.7500 0.7573  0.02



DFT (PBE) results for a relaxed Nb4CuSiN2 crystal.

Output
- ρ (g/cm3) = 7.3
- space-group type = No. 187
- VASP energy (eV per atom) = -8.80

a = 3.2059 Å, b = 3.2059 Å, c = 12.4866 Å
α = 90.00°, β = 90.00°, γ = 120.00°
Fractional coordinates of all 8 atoms:
N 0.3333 0.6667 0.7494
N 0.3333 0.6667 0.2506
Cu 0.0000 0.0000 0.0000
Si 0.6667 0.3333 0.5000
Nb 0.6667 0.3333 0.8377
Nb 0.0000 0.0000 0.6509
Nb 0.6667 0.3333 0.1623
Nb 0.0000 0.0000 0.3491



DFT (PBE) results for a relaxed Hf2InTc crystal.

Output
- ρ (g/cm3) = 12.1
- space-group type = No. 123
- VASP energy (eV per atom) = -8.64

a = 3.3218 Å, b = 3.3218 Å, c = 7.1090 Å
α = 90.00°, β = 90.00°, γ = 90.00°
Fractional coordinates of all 4 atoms:
In 0.5000 0.5000 0.5000
Hf 0.0000 0.0000 0.7829
Hf 0.0000 0.0000 0.2171
Tc 0.5000 0.5000 0.0000



DFT (PBE) results for a relaxed LuIn crystal.

Output
- ρ (g/cm3) = 8.4
- space-group type = No. 225
- VASP energy (eV per atom) = -3.61

a = 4.3261 Å, b = 4.3261 Å, c = 4.3261 Å
α = 60.00°, β = 60.00°, γ = 60.00°
Site moments in Bohr magnetons follow the coordinates.
Fractional coordinates of all 2 atoms:
Lu 0.5000 0.5000 0.5000  0.13
In 0.0000 0.0000 0.0000  0.07



no.,spin magnetization (μB/atom)
1,0.00
2,0.00
3,0.00
4,0.00
5,0.00
6,0.38
7,0.83
8,0.00
9,0.13
10,0.00
11,0.00
12,0.15